LiNd2ZrS5: optimized geometry, PBE.

Unit cell a=8.4427 b=8.4427 c=11.7339 alpha=90.00 beta=90.00 gamma=153.37
Atoms (fractional coordinates):
Li: 0.0432 0.9568 0.5000
Li: 0.9568 0.0432 0.0000
Nd: 0.3694 0.6306 0.3466
Nd: 0.3912 0.6088 0.7317
Nd: 0.6088 0.3912 0.2317
Nd: 0.6306 0.3694 0.8466
Zr: 0.3033 0.6967 0.0538
Zr: 0.6967 0.3033 0.5538
S: 0.0049 0.9951 0.8172
S: 0.1423 0.8577 0.0435
S: 0.1888 0.8112 0.4001
S: 0.2158 0.7842 0.7067
S: 0.4483 0.5517 0.1032
S: 0.5517 0.4483 0.6032
S: 0.7842 0.2158 0.2067
S: 0.8112 0.1888 0.9001
S: 0.8577 0.1423 0.5435
S: 0.9951 0.0049 0.3172

Computed properties:
**DFT total energy**: -113.2 eV per cell
**DOS(E_F)**: 1.573 states/eV/f.u.
**Total magnetic moment**: 0.00 μB/f.u.

***

LiNd2Sb2: optimized geometry, PBE.

Unit cell a=8.0463 b=8.0463 c=8.0463 alpha=131.75 beta=70.03 gamma=132.50
Atoms (fractional coordinates):
Li: 0.2500 0.2500 0.0000
Li: 0.7500 0.7500 0.0000
Nd: 0.1404 0.7170 0.8574
Nd: 0.3596 0.2170 0.5767
Nd: 0.6404 0.7830 0.4233
Nd: 0.8596 0.2830 0.1426
Sb: 0.1184 0.2363 0.3547
Sb: 0.3816 0.7363 0.1179
Sb: 0.6184 0.2637 0.8821
Sb: 0.8816 0.7637 0.6453

Computed properties:
**DFT total energy**: -48.9 eV per cell
**DOS(E_F)**: 2.245 states/eV/f.u.
**Total magnetic moment**: 0.00 μB/f.u.

***

LiNd2Sb: optimized geometry, PBE.

Unit cell a=6.6371 b=6.6371 c=6.6371 alpha=115.99 beta=99.38 gamma=113.51
Atoms (fractional coordinates):
Li: 0.2972 0.0472 0.2500
Li: 0.7028 0.9528 0.7500
Nd: 0.2272 0.0000 0.7272
Nd: 0.2272 0.5000 0.2272
Nd: 0.7728 0.0000 0.2728
Nd: 0.7728 0.5000 0.7728
Sb: 0.2896 0.5396 0.7500
Sb: 0.7104 0.4604 0.2500

Computed properties:
**DFT total energy**: -35.7 eV per cell
**E above lowest polymorph**: 0 meV per atom
**DOS(E_F)**: 3.084 states/eV/f.u.
**Total magnetic moment**: 0.00 μB/f.u.

***

Li3NdSb2: optimized geometry, PBE.

Unit cell a=4.6051 b=4.6051 c=7.3264 alpha=90.00 beta=90.00 gamma=120.00
Atoms (fractional coordinates):
Li: 0.0000 0.0000 0.0000
Li: 0.3333 0.6667 0.1474
Li: 0.6667 0.3333 0.8526
Nd: 0.0000 0.0000 0.5000
Sb: 0.3333 0.6667 0.7556
Sb: 0.6667 0.3333 0.2444

Computed properties:
**DFT total energy**: -23.8 eV per cell
**E above lowest polymorph**: 0 meV per atom
**DOS(E_F)**: 0.490 states/eV/f.u.
**Total magnetic moment**: 0.00 μB/f.u.

***

Li2Nd5Sb5: optimized geometry, PBE.

Unit cell a=7.7186 b=7.7186 c=12.4186 alpha=112.51 beta=112.51 gamma=33.35
Atoms (fractional coordinates):
Li: 0.0665 0.0665 0.2876
Li: 0.9335 0.9335 0.7124
Nd: 0.2755 0.2755 0.1549
Nd: 0.3437 0.3437 0.4726
Nd: 0.5000 0.5000 0.0000
Nd: 0.6563 0.6563 0.5274
Nd: 0.7245 0.7245 0.8451
Sb: 0.0000 0.0000 0.5000
Sb: 0.1053 0.1053 0.9106
Sb: 0.3100 0.3100 0.7138
Sb: 0.6900 0.6900 0.2862
Sb: 0.8947 0.8947 0.0894

Computed properties:
**DFT total energy**: -58.7 eV per cell
**DOS(E_F)**: 7.039 states/eV/f.u.
**Total magnetic moment**: 0.68 μB/f.u.

***

Li2NdSb: optimized geometry, PBE.

Unit cell a=4.8732 b=4.8732 c=4.8732 alpha=60.00 beta=60.00 gamma=60.00
Atoms (fractional coordinates):
Li: 0.2500 0.2500 0.2500
Li: 0.7500 0.7500 0.7500
Nd: 0.0000 0.0000 0.0000
Sb: 0.5000 0.5000 0.5000

Computed properties:
**DFT total energy**: -14.5 eV per cell
**E above lowest polymorph**: 97 meV per atom
**DOS(E_F)**: 3.262 states/eV/f.u.
**Total magnetic moment**: 0.00 μB/f.u.

***

LiNdSb2: optimized geometry, PBE.

Unit cell a=4.9039 b=4.9039 c=4.3305 alpha=90.00 beta=90.00 gamma=90.00
Atoms (fractional coordinates):
Li: 0.0000 0.0000 0.0000
Nd: 0.5000 0.5000 0.0000
Sb: 0.0000 0.5000 0.5000
Sb: 0.5000 0.0000 0.5000

Computed properties:
**DFT total energy**: -17.7 eV per cell
**E above lowest polymorph**: 163 meV per atom
**DOS(E_F)**: 2.020 states/eV/f.u.
**Total magnetic moment**: 0.00 μB/f.u.

***

Li3NdSb2: optimized geometry, PBE.

Unit cell a=9.0189 b=9.0189 c=10.8216 alpha=100.39 beta=100.39 gamma=28.23
Atoms (fractional coordinates):
Li: 0.0000 0.0000 0.0000
Li: 0.1201 0.1201 0.7271
Li: 0.1816 0.1816 0.4877
Li: 0.2916 0.2916 0.0961
Li: 0.4499 0.4499 0.1611
Li: 0.5501 0.5501 0.8389
Li: 0.7084 0.7084 0.9039
Li: 0.8184 0.8184 0.5123
Li: 0.8799 0.8799 0.2729
Nd: 0.3307 0.3307 0.7812
Nd: 0.5000 0.5000 0.5000
Nd: 0.6693 0.6693 0.2188
Sb: 0.0456 0.0456 0.3047
Sb: 0.1439 0.1439 0.9907
Sb: 0.3083 0.3083 0.3551
Sb: 0.6917 0.6917 0.6449
Sb: 0.8561 0.8561 0.0093
Sb: 0.9544 0.9544 0.6953

Computed properties:
**DFT total energy**: -70.0 eV per cell
**E above lowest polymorph**: 80 meV per atom
**DOS(E_F)**: 0.556 states/eV/f.u.
**Total magnetic moment**: 0.00 μB/f.u.

***

Li3Nd2Sb2: optimized geometry, PBE.

Unit cell a=5.9992 b=5.9992 c=6.7352 alpha=105.52 beta=105.52 gamma=46.19
Atoms (fractional coordinates):
Li: 0.0000 0.0000 0.0000
Li: 0.1118 0.1118 0.4295
Li: 0.8882 0.8882 0.5705
Nd: 0.3534 0.3534 0.2398
Nd: 0.6466 0.6466 0.7602
Sb: 0.3488 0.3488 0.7564
Sb: 0.6512 0.6512 0.2436

Computed properties:
**DFT total energy**: -28.3 eV per cell
**DOS(E_F)**: 2.960 states/eV/f.u.
**Total magnetic moment**: 0.00 μB/f.u.

***

LiNdSb2: optimized geometry, PBE.

Unit cell a=3.9768 b=3.9768 c=6.5651 alpha=90.00 beta=90.00 gamma=90.00
Atoms (fractional coordinates):
Li: 0.0000 0.0000 0.0000
Nd: 0.0000 0.0000 0.5000
Sb: 0.5000 0.5000 0.2282
Sb: 0.5000 0.5000 0.7718

Computed properties:
**DFT total energy**: -17.4 eV per cell
**E above lowest polymorph**: 225 meV per atom
**DOS(E_F)**: 2.486 states/eV/f.u.
**Total magnetic moment**: 0.00 μB/f.u.

***

LiNd2Sb: optimized geometry, PBE.

Unit cell a=5.3667 b=5.3667 c=5.3667 alpha=60.00 beta=60.00 gamma=60.00
Atoms (fractional coordinates):
Li: 0.0000 0.0000 0.0000
Nd: 0.2500 0.2500 0.2500
Nd: 0.7500 0.7500 0.7500
Sb: 0.5000 0.5000 0.5000

Computed properties:
**DFT total energy**: -17.6 eV per cell
**E above lowest polymorph**: 56 meV per atom
**DOS(E_F)**: 3.331 states/eV/f.u.
**Total magnetic moment**: 0.00 μB/f.u.

***

LiNd2Sb: optimized geometry, PBE.

Unit cell a=5.0662 b=5.0662 c=4.3098 alpha=90.00 beta=90.00 gamma=90.00
Atoms (fractional coordinates):
Li: 0.0000 0.0000 0.0000
Nd: 0.0000 0.5000 0.5000
Nd: 0.5000 0.0000 0.5000
Sb: 0.5000 0.5000 0.0000

Computed properties:
**DFT total energy**: -17.8 eV per cell
**E above lowest polymorph**: 7 meV per atom
**DOS(E_F)**: 2.969 states/eV/f.u.
**Total magnetic moment**: 0.00 μB/f.u.

***

LiNd3Sb2: optimized geometry, PBE.

Unit cell a=9.4042 b=9.4042 c=9.4042 alpha=155.16 beta=147.72 gamma=41.16
Atoms (fractional coordinates):
Li: 0.0000 0.0000 0.0000
Nd: 0.1768 0.1768 0.0000
Nd: 0.5000 0.0000 0.5000
Nd: 0.8232 0.8232 0.0000
Sb: 0.3555 0.3555 0.0000
Sb: 0.6445 0.6445 0.0000

Computed properties:
**DFT total energy**: -27.2 eV per cell
**DOS(E_F)**: 4.216 states/eV/f.u.
**Total magnetic moment**: 0.00 μB/f.u.

***

Li2Nd3Sb3: optimized geometry, PBE.

Unit cell a=6.3529 b=6.3529 c=15.6542 alpha=90.00 beta=90.00 gamma=138.74
Atoms (fractional coordinates):
Li: 0.2293 0.7707 0.5945
Li: 0.2293 0.7707 0.9055
Li: 0.7707 0.2293 0.0945
Li: 0.7707 0.2293 0.4055
Nd: 0.0712 0.9288 0.1069
Nd: 0.0712 0.9288 0.3931
Nd: 0.3595 0.6405 0.2500
Nd: 0.6405 0.3595 0.7500
Nd: 0.9288 0.0712 0.6069
Nd: 0.9288 0.0712 0.8931
Sb: 0.3515 0.6485 0.7500
Sb: 0.3740 0.6260 0.0495
Sb: 0.3740 0.6260 0.4505
Sb: 0.6260 0.3740 0.5495
Sb: 0.6260 0.3740 0.9505
Sb: 0.6485 0.3515 0.2500

Computed properties:
**DFT total energy**: -75.6 eV per cell
**DOS(E_F)**: 3.549 states/eV/f.u.
**Total magnetic moment**: 1.58 μB/f.u.

***

LiNd5Sb2: optimized geometry, PBE.

Unit cell a=6.3586 b=6.3586 c=19.2826 alpha=90.00 beta=90.00 gamma=142.07
Atoms (fractional coordinates):
Li: 0.1698 0.8302 0.7500
Li: 0.8302 0.1698 0.2500
Nd: 0.0549 0.9451 0.6145
Nd: 0.0549 0.9451 0.8855
Nd: 0.3574 0.6426 0.5279
Nd: 0.3574 0.6426 0.9721
Nd: 0.4160 0.5840 0.7500
Nd: 0.5840 0.4160 0.2500
Nd: 0.6426 0.3574 0.0279
Nd: 0.6426 0.3574 0.4721
Nd: 0.9451 0.0549 0.1145
Nd: 0.9451 0.0549 0.3855
Sb: 0.2360 0.7640 0.1477
Sb: 0.2360 0.7640 0.3523
Sb: 0.7640 0.2360 0.6477
Sb: 0.7640 0.2360 0.8523

Computed properties:
**DFT total energy**: -75.2 eV per cell
**DOS(E_F)**: 7.978 states/eV/f.u.
**Total magnetic moment**: 0.00 μB/f.u.

***

Li2NdSb: optimized geometry, PBE.

Unit cell a=4.4895 b=4.4895 c=4.9238 alpha=90.00 beta=90.00 gamma=90.00
Atoms (fractional coordinates):
Li: 0.0000 0.5000 0.0000
Li: 0.5000 0.0000 0.0000
Nd: 0.0000 0.0000 0.5000
Sb: 0.5000 0.5000 0.5000

Computed properties:
**DFT total energy**: -14.9 eV per cell
**E above lowest polymorph**: 0 meV per atom
**DOS(E_F)**: 1.198 states/eV/f.u.
**Total magnetic moment**: 0.00 μB/f.u.

***

LiNdSb2: optimized geometry, PBE.

Unit cell a=5.7993 b=5.7993 c=5.7993 alpha=50.49 beta=50.49 gamma=50.49
Atoms (fractional coordinates):
Li: 0.0000 0.0000 0.0000
Nd: 0.5000 0.5000 0.5000
Sb: 0.2637 0.2637 0.2637
Sb: 0.7363 0.7363 0.7363

Computed properties:
**DFT total energy**: -17.3 eV per cell
**E above lowest polymorph**: 251 meV per atom
**DOS(E_F)**: 2.981 states/eV/f.u.
**Total magnetic moment**: 0.00 μB/f.u.

***

Li2NdSc2Sb2: optimized geometry, PBE.

Unit cell a=8.9355 b=8.9355 c=8.9355 alpha=30.30 beta=30.30 gamma=30.30
Atoms (fractional coordinates):
Li: 0.0753 0.0753 0.0753
Li: 0.9247 0.9247 0.9247
Nd: 0.5000 0.5000 0.5000
Sc: 0.3646 0.3646 0.3646
Sc: 0.6354 0.6354 0.6354
Sb: 0.2436 0.2436 0.2436
Sb: 0.7564 0.7564 0.7564

Computed properties:
**DFT total energy**: -33.7 eV per cell
**DOS(E_F)**: 5.775 states/eV/f.u.
**Total magnetic moment**: 1.58 μB/f.u.

***

Li2Nd2SmSb2: optimized geometry, PBE.

Unit cell a=9.6349 b=9.6349 c=9.6349 alpha=28.72 beta=28.72 gamma=28.72
Atoms (fractional coordinates):
Li: 0.0964 0.0964 0.0964
Li: 0.9036 0.9036 0.9036
Nd: 0.3706 0.3706 0.3706
Nd: 0.6294 0.6294 0.6294
Sm: 0.5000 0.5000 0.5000
Sb: 0.2336 0.2336 0.2336
Sb: 0.7664 0.7664 0.7664

Computed properties:
**DFT total energy**: -30.6 eV per cell
**DOS(E_F)**: 4.970 states/eV/f.u.
**Total magnetic moment**: 0.00 μB/f.u.

***

Li2NdSm2Sb2: optimized geometry, PBE.

Unit cell a=9.5742 b=9.5742 c=9.5742 alpha=28.90 beta=28.90 gamma=28.90
Atoms (fractional coordinates):
Li: 0.0928 0.0928 0.0928
Li: 0.9072 0.9072 0.9072
Nd: 0.5000 0.5000 0.5000
Sm: 0.3697 0.3697 0.3697
Sm: 0.6303 0.6303 0.6303
Sb: 0.2366 0.2366 0.2366
Sb: 0.7634 0.7634 0.7634

Computed properties:
**DFT total energy**: -30.5 eV per cell
**DOS(E_F)**: 5.290 states/eV/f.u.
**Total magnetic moment**: 0.00 μB/f.u.

***

LiNdSmSb: optimized geometry, PBE.

Unit cell a=5.3334 b=5.3334 c=5.3334 alpha=60.00 beta=60.00 gamma=60.00
Atoms (fractional coordinates):
Li: 0.0000 0.0000 0.0000
Nd: 0.7500 0.7500 0.7500
Sm: 0.2500 0.2500 0.2500
Sb: 0.5000 0.5000 0.5000

Computed properties:
**DFT total energy**: -17.5 eV per cell
**DOS(E_F)**: 3.354 states/eV/f.u.
**Total magnetic moment**: 0.00 μB/f.u.

***

LiTbNdSb: optimized geometry, PBE.

Unit cell a=5.2927 b=5.2927 c=5.2927 alpha=60.00 beta=60.00 gamma=60.00
Atoms (fractional coordinates):
Li: 0.0000 0.0000 0.0000
Tb: 0.2500 0.2500 0.2500
Nd: 0.7500 0.7500 0.7500
Sb: 0.5000 0.5000 0.5000

Computed properties:
**DFT total energy**: -17.3 eV per cell
**DOS(E_F)**: 3.563 states/eV/f.u.
**Total magnetic moment**: 0.00 μB/f.u.

***

Li2NdTm2Sb2: optimized geometry, PBE.

Unit cell a=9.2990 b=9.2990 c=9.2990 alpha=29.52 beta=29.52 gamma=29.52
Atoms (fractional coordinates):
Li: 0.0874 0.0874 0.0874
Li: 0.9126 0.9126 0.9126
Nd: 0.5000 0.5000 0.5000
Tm: 0.3679 0.3679 0.3679
Tm: 0.6321 0.6321 0.6321
Sb: 0.2397 0.2397 0.2397
Sb: 0.7603 0.7603 0.7603

Computed properties:
**DFT total energy**: -29.6 eV per cell
**DOS(E_F)**: 5.567 states/eV/f.u.
**Total magnetic moment**: 0.85 μB/f.u.

***

Li2Nd2YSb2: optimized geometry, PBE.

Unit cell a=9.5639 b=9.5639 c=9.5639 alpha=28.80 beta=28.80 gamma=28.80
Atoms (fractional coordinates):
Li: 0.0995 0.0995 0.0995
Li: 0.9005 0.9005 0.9005
Nd: 0.3714 0.3714 0.3714
Nd: 0.6286 0.6286 0.6286
Y: 0.5000 0.5000 0.5000
Sb: 0.2314 0.2314 0.2314
Sb: 0.7686 0.7686 0.7686

Computed properties:
**DFT total energy**: -32.2 eV per cell
**DOS(E_F)**: 5.159 states/eV/f.u.
**Total magnetic moment**: 0.00 μB/f.u.

***

Li2NdY2Sb2: optimized geometry, PBE.

Unit cell a=9.4366 b=9.4366 c=9.4366 alpha=29.19 beta=29.19 gamma=29.19
Atoms (fractional coordinates):
Li: 0.0905 0.0905 0.0905
Li: 0.9095 0.9095 0.9095
Nd: 0.5000 0.5000 0.5000
Y: 0.3689 0.3689 0.3689
Y: 0.6311 0.6311 0.6311
Sb: 0.2385 0.2385 0.2385
Sb: 0.7615 0.7615 0.7615

Computed properties:
**DFT total energy**: -33.9 eV per cell
**DOS(E_F)**: 5.074 states/eV/f.u.
**Total magnetic moment**: 0.99 μB/f.u.